LaHgP2: optimized geometry, PBE.

For the formation energy, the calculation gives -320 meV per atom.

The space group is I4/mmm (No. 139) and the conventional cell measures 4.482, 4.482 and 8.907 Å, with angles of 90.00, 90.00 and 90.00 degrees. The distinct sites, in fractional coordinates, are La at (0.000, 0.000, 0.000), Hg at (0.000, 0.000, 0.500) and P at (0.000, 0.500, 0.250).

=====

TaHgH: optimized geometry, PBE.

The value obtained for the energy above the most stable polymorph in this dataset is 0 meV per atom.

The space group is P6_3/mmc (No. 194) and the conventional cell measures 3.1973, 3.1973 and 9.5671 Å, with angles of 90.00, 90.00 and 120.00 degrees. The distinct sites, in fractional coordinates, are Ta at (0.3333, 0.6667, 0.2500), Hg at (0.0000, 0.0000, 0.0000) and H at (0.3333, 0.6667, 0.7500).

=====

Pm3Pr6Tl: optimized geometry, PBE.

For the formation energy, the calculation gives 7 meV per atom. The value obtained for the energy above the most stable polymorph in this dataset is 9 meV per atom.

The space group is P2_1/m (No. 11) and the conventional cell measures 12.605, 3.684 and 15.167 Å, with angles of 90.00, 94.30 and 90.00 degrees. The distinct sites, in fractional coordinates, are Pm at (0.053, 0.250, 0.302), Pm at (0.102, 0.250, 0.082), Pm at (0.427, 0.250, 0.817), Pr at (0.113, 0.750, 0.502), Pr at (0.187, 0.750, 0.891), Pr at (0.205, 0.250, 0.686), Pr at (0.304, 0.750, 0.252), Pr at (0.380, 0.250, 0.043), Pr at (0.437, 0.750, 0.607) and Tl at (0.310, 0.250, 0.441).

=====

NpSc3Tl3Se8: optimized geometry, PBE.

The calculation puts the uncorrected energy at -5.69 eV per atom.

The space group is R-3m (No. 166, hexagonal axes) and the conventional cell measures 7.9661, 7.9661 and 23.3687 Å, with angles of 90.00, 90.00 and 120.00 degrees. The distinct sites, in fractional coordinates, are Np at (0.0000, 0.0000, 0.0000), Sc at (0.0000, 0.5000, 0.0000), Tl at (0.0000, 0.5000, 0.5000), Se at (0.0000, 0.0000, 0.2687) and Se at (0.0104, 0.5052, 0.2673).

=====

LaBeAu2: optimized geometry, PBE.

For the formation energy, the calculation gives -456 meV per atom.

The space group is Pmm2 (No. 25) and the conventional cell measures 4.123, 4.578 and 4.821 Å, with angles of 90.00, 90.00 and 90.00 degrees. The distinct sites, in fractional coordinates, are La at (0.000, 0.000, 0.000), Be at (0.500, 0.500, 0.334), Au at (0.500, 0.000, 0.481) and Au at (0.500, 0.500, 0.840).

=====

TeIr2: optimized geometry, PBE.

The value obtained for the energy above the most stable polymorph in this dataset is 510 meV per atom.

The space group is P4/mmm (No. 123) and the conventional cell measures 3.875, 3.875 and 3.869 Å, with angles of 90.00, 90.00 and 90.00 degrees. The distinct sites, in fractional coordinates, are Te at (0.000, 0.000, 0.000) and Ir at (0.000, 0.500, 0.500).

=====

Computed density (g/cm³) in order:
7.45 14.99 7.02 6.27 9.89 14.64